Zn2InGaMo | the Alexandria database | GGA-PBE | relaxed; crystal system = tetragonal; final energy = -2.501 eV/atom; formation energy = 1328 meV/atom
1.0
5.307 0.000 0.000
0.000 5.307 0.000
0.000 0.000 5.393
Zn In Ga Mo
2 1 1 1
direct
0.000 0.500 0.000
0.500 0.000 0.000
0.000 0.000 0.000
0.000 0.000 0.500
0.500 0.500 0.500